Here is an optimized crystal structure of AcMgTe2 from Alexandria via LeMat-Bulk. Energies are from PBE.

abc: 4.3849 4.3849 8.1893
angles: 74.47 74.47 60.00
With the nearest neighbours (Å) after each atom.
Fractional positions:
Te 0.0692 0.0692 0.7923  3 Mg 2.99
Te 0.2628 0.2628 0.2116  3 Mg 3.03, 3 Ac 3.38
Mg 0.6675 0.6675 0.9976  6 Te 2.99-3.03
Ac 0.5005 0.5005 0.4985  6 Te 3.38-3.41

Results
The value obtained for the mass density is 6.5 g cm⁻³. The value obtained for the relative energy among the computed polymorphs is 0.000 eV/atom. The value obtained for the density of states at the Fermi level is 0.87 states/eV per cell. As for the uncorrected formation energy: -4.45 eV per formula unit. The total magnetization comes out at 0.91 μB/f.u.